First-principles (GGA-PBE) data for crystalline Tm4Te3Pb at its relaxed geometry, as listed in Alexandria via LeMat-Bulk.

Unit cell a=7.5255 b=7.4922 c=8.7067 alpha=90.00 beta=90.00 gamma=109.68
Element x y z (fractional)
Pb 0.7500 0.0000 0.8744
Pb 0.2500 0.0000 0.1256
Tm 0.9941 0.2460 0.6296
Tm 0.5010 0.2434 0.8793
Tm 0.4941 0.2460 0.3704
Tm 0.0010 0.2434 0.1207
Tm 0.9990 0.7566 0.8793
Tm 0.5059 0.7540 0.6296
Tm 0.4990 0.7566 0.1207
Tm 0.0059 0.7540 0.3704
Te 0.7500 0.0000 0.3756
Te 0.2500 0.0000 0.6244
Te 0.7500 0.5000 0.6227
Te 0.7500 0.5000 0.1274
Te 0.2500 0.5000 0.3773
Te 0.2500 0.5000 0.8726

Output
Total magnetic moment ... 0.00 μB per formula unit
DFT total energy ... -4.92 eV per atom
Formation energy (no corrections) ... -1.0380 eV/atom
Space-group type ... P2/c, No. 13


First-principles (GGA-PBE) data for crystalline Tm6Te5Pb at its relaxed geometry, as listed in Alexandria via LeMat-Bulk.

Unit cell a=7.5092 b=7.4886 c=7.4754 alpha=59.94 beta=80.48 gamma=70.73
Element x y z (fractional)
Pb 0.0000 0.0000 0.0000
Tm 0.7540 0.0806 0.3286
Tm 0.2460 0.5907 0.3286
Tm 0.2505 0.2426 0.0000
Tm 0.7495 0.7574 0.0000
Tm 0.7540 0.4093 0.6714
Tm 0.2460 0.9194 0.6714
Te 0.5000 0.1698 0.6604
Te 0.0000 0.3345 0.3310
Te 0.5000 0.5000 0.0000
Te 0.0000 0.6655 0.6690
Te 0.5000 0.8302 0.3396

Output
Total magnetic moment ... 0.00 μB per formula unit
DFT total energy ... -4.94 eV per atom
Formation energy (no corrections) ... -1.0880 eV/atom
Space-group type ... C2/m, No. 12


First-principles (GGA-PBE) data for crystalline Tm2TePb at its relaxed geometry, as listed in Alexandria via LeMat-Bulk.

Unit cell a=4.3779 b=4.3779 c=7.5729 alpha=89.99 beta=106.82 gamma=119.99
Element x y z (fractional)
Tm 0.5086 0.2544 0.7629
Tm 0.4914 0.7456 0.2371
Te 0.0000 0.5000 0.5000
Pb 0.0000 0.0000 0.0000

Output
Offset from the most stable computed form ... 0.0237 eV per atom
Total magnetic moment ... 0.00 μB per formula unit
DFT total energy ... -4.80 eV per atom
Formation energy (no corrections) ... -0.8513 eV/atom
Space-group type ... R-3m, No. 166